[1]
## Cs2NaGaF6 (GGA-PBEsol)

Data for Cs2NaGaF6 after structural relaxation.

Cell and atoms, written as POSCAR:
```
Cs2NaGaF6
1.0
-5.9116 1.4830 -0.5347
-3.9378 -1.4743 4.4443
-2.3889 4.3760 3.5462
Cs F Ga Na
2 6 1 1
Direct
0.2500 0.2500 0.2500
0.7500 0.7500 0.7500
0.2227 0.7773 0.7773
0.7773 0.7773 0.2227
0.7773 0.2227 0.7773
0.2227 0.2227 0.7773
0.2227 0.7773 0.2227
0.7773 0.2227 0.2227
0.0000 0.0000 0.0000
0.5000 0.5000 0.5000
```

raw formation energy: -2.838 eV per atom

[2]
## Cs4Na2ScGaF12 (GGA-PBEsol)

Data for Cs4Na2ScGaF12 after structural relaxation.

Cell and atoms, written as POSCAR:
```
Cs4Na2ScGaF12
1.0
-3.3554 -4.2596 -3.1203
1.8721 -5.9679 -0.1381
-5.9329 -5.3105 7.3578
Cs Ga F Sc Na
4 1 12 1 2
Direct
0.8718 0.8718 0.3846
0.1282 0.1282 0.6154
0.2814 0.2814 0.1558
0.7186 0.7186 0.8442
0.5000 0.5000 0.5000
0.3948 0.3948 0.3887
0.6052 0.6052 0.6113
0.8096 0.2673 0.1136
0.8096 0.8096 0.1136
0.3948 0.8217 0.3887
0.7327 0.1904 0.8864
0.2673 0.8096 0.1136
0.8217 0.3948 0.3887
0.1904 0.7327 0.8864
0.6052 0.1783 0.6113
0.1904 0.1904 0.8864
0.1783 0.6052 0.6113
0.0000 0.0000 0.0000
0.5951 0.5951 0.2147
0.4049 0.4049 0.7853
```

raw formation energy: -3.089 eV per atom

[3]
## Cs3GeF7 (GGA-PBEsol)

Data for Cs3GeF7 after structural relaxation.

Cell and atoms, written as POSCAR:
```
Cs3GeF7
1.0
6.1920 0.0000 0.0000
0.0000 8.3106 0.0000
0.0000 0.0000 8.3106
F Ge Cs
14 2 6
Direct
0.5000 0.5000 0.5000
0.5000 0.0000 0.0000
0.0000 0.3455 0.1545
0.0000 0.1545 0.6545
0.0000 0.6545 0.8455
0.7904 0.3914 0.8914
0.2096 0.1086 0.3914
0.2096 0.3914 0.8914
0.7904 0.1086 0.3914
0.2096 0.6086 0.1086
0.2096 0.8914 0.6086
0.0000 0.8455 0.3455
0.7904 0.6086 0.1086
0.7904 0.8914 0.6086
0.0000 0.5000 0.0000
0.0000 0.0000 0.5000
0.5000 0.8072 0.3072
0.5000 0.1928 0.6928
0.0000 0.0000 0.0000
0.0000 0.5000 0.5000
0.5000 0.3072 0.1928
0.5000 0.6928 0.8072
```

raw formation energy: -2.788 eV per atom

[4]
## CsGe3F (GGA-PBEsol)

Data for CsGe3F after structural relaxation.

Cell and atoms, written as POSCAR:
```
CsGe3F
1.0
5.6579 0.0000 0.0000
0.0000 5.6579 0.0000
0.0000 0.0000 5.6579
Ge F Cs
3 1 1
Direct
0.0000 0.5000 0.0000
0.0000 0.0000 0.5000
0.5000 0.0000 0.0000
0.5000 0.5000 0.5000
0.0000 0.0000 0.0000
```

raw formation energy: 1.604 eV per atom

[5]
## Cs2GeF6 (GGA-PBEsol)

Data for Cs2GeF6 after structural relaxation.

Cell and atoms, written as POSCAR:
```
Cs2GeF6
1.0
6.2964 0.0000 0.0000
3.1482 5.4529 0.0000
3.1482 1.8176 5.1410
Ge Cs F
1 2 6
Direct
0.0000 0.0000 0.0000
0.7500 0.7500 0.7500
0.2500 0.2500 0.2500
0.2046 0.7954 0.7954
0.2046 0.2046 0.7954
0.7954 0.2046 0.2046
0.2046 0.7954 0.2046
0.7954 0.2046 0.7954
0.7954 0.7954 0.2046
```

raw formation energy: -2.814 eV per atom

[6]
## CsHgGe2F (GGA-PBEsol)

Data for CsHgGe2F after structural relaxation.

Cell and atoms, written as POSCAR:
```
CsHgGe2F
1.0
-2.0391 3.2382 -2.6590
1.4229 -2.2462 -3.8267
-5.2309 -3.3002 -0.0078
Cs Ge Hg F
1 2 1 1
Direct
0.5000 0.5000 0.5000
0.0000 0.5000 0.0000
0.5000 0.0000 0.0000
0.0000 0.0000 0.5000
0.0000 0.0000 0.0000
```

raw formation energy: -0.097 eV per atom

[7]
## Cs2InGeF (GGA-PBEsol)

Data for Cs2InGeF after structural relaxation.

Cell and atoms, written as POSCAR:
```
Cs2InGeF
1.0
4.5292 0.0000 0.0000
0.0000 7.1073 0.0000
0.0000 0.0000 7.1073
Cs F In Ge
2 1 1 1
Direct
0.0000 0.5000 0.0000
0.0000 0.0000 0.5000
0.5000 0.0000 0.0000
0.0000 0.0000 0.0000
0.5000 0.5000 0.5000
```

raw formation energy: -0.236 eV per atom

[8]
## CsGe2PtF (GGA-PBEsol)

Data for CsGe2PtF after structural relaxation.

Cell and atoms, written as POSCAR:
```
CsGe2PtF
1.0
4.5663 0.0000 0.0000
0.0000 4.5663 0.0000
0.0000 0.0000 5.2289
Ge F Pt Cs
2 1 1 1
Direct
0.5000 0.0000 0.0000
0.0000 0.5000 0.0000
0.0000 0.0000 0.0000
0.5000 0.5000 0.5000
0.0000 0.0000 0.5000
```

raw formation energy: 0.091 eV per atom

[9]
## CsHF2 (GGA-PBEsol)

Data for CsHF2 after structural relaxation.

Cell and atoms, written as POSCAR:
```
CsHF2
1.0
-4.0366 -1.5411 -3.8086
1.9076 -4.1551 3.5030
-1.6646 3.6548 4.1288
F Cs H
4 2 2
Direct
0.7667 0.6334 0.1334
0.2333 0.3666 0.8666
0.5000 0.8666 0.6334
0.5000 0.1334 0.3666
0.0000 0.7500 0.7500
0.0000 0.2500 0.2500
0.5000 0.0000 0.5000
0.5000 0.5000 0.0000
```

DFT total energy: -4.342 eV/atom

[10]
## CsHF2 (GGA-PBEsol)

Data for CsHF2 after structural relaxation.

Cell and atoms, written as POSCAR:
```
CsHF2
1.0
3.8048 0.0000 0.0000
0.0000 3.8048 0.0000
0.0000 0.0000 5.1904
Cs F H
1 2 1
Direct
0.5000 0.5000 0.5000
0.0000 0.0000 0.7790
0.0000 0.0000 0.2210
0.0000 0.0000 0.0000
```

DFT total energy: -4.326 eV/atom

[11]
## Cs3HF (GGA-PBEsol)

Data for Cs3HF after structural relaxation.

Cell and atoms, written as POSCAR:
```
Cs3HF
1.0
-5.1589 2.5750 -0.8632
-0.9068 -3.3800 -4.6630
-2.5599 -3.9920 3.3914
F Cs H
1 3 1
Direct
0.5000 0.5000 0.5000
0.0000 0.0000 0.5000
0.5000 0.0000 0.0000
0.0000 0.5000 0.0000
0.0000 0.0000 0.0000
```

DFT total energy: -2.297 eV/atom

[12]
## CsInH2F (GGA-PBEsol)

Data for CsInH2F after structural relaxation.

Cell and atoms, written as POSCAR:
```
CsInH2F
1.0
-2.4145 -1.0846 2.9731
2.7796 -2.5148 1.3399
3.3851 6.4621 5.1064
F Cs In H
1 1 1 2
Direct
0.5000 0.5000 0.5000
0.0000 0.0000 0.5000
0.0000 0.0000 0.0000
0.0000 0.5000 0.0000
0.5000 0.0000 0.0000
```

DFT total energy: -3.132 eV/atom

no.,magnetization (μB/atom),N(E_F) (states/eV/f.u.)
1,0.002,0.00
2,0.010,0.00
3,0.007,0.00
4,0.000,6.65
5,0.014,0.00
6,0.000,3.33
7,0.259,2.67
8,0.000,1.52
9,0.000,0.00
10,0.001,0.00
11,0.000,2.58
12,0.000,1.34